## w
Compound: HfTa2Be9
Source: Alexandria
Functional: GGA-PBE
Structure: optimized geometry

Geometry as extended XYZ:
```
24
Lattice="-4.451 -0.737 -0.903 3.204 -1.244 -3.058 0.877 -12.804 6.126" Properties=species:S:1:pos:R:3 pbc="T T T"
Hf 1.311 -10.678 2.255
Hf -1.680 -4.107 -0.090
Ta 1.124 -7.948 0.949
Ta -1.867 -1.377 -1.396
Ta -1.493 -6.836 1.216
Ta 1.498 -13.407 3.560
Be 0.000 0.000 0.000
Be 0.439 -6.402 3.063
Be 0.219 -3.201 1.531
Be 0.658 -9.603 4.594
Be 0.872 -4.276 -0.808
Be -1.241 -10.509 2.973
Be 0.443 -2.160 -0.418
Be -0.170 -3.133 -2.364
Be 2.017 -2.771 -1.921
Be -1.029 -9.450 1.064
Be -0.417 -8.477 3.010
Be -2.604 -8.839 2.566
Be -0.199 -11.652 4.529
Be -0.812 -12.625 2.583
Be -2.386 -12.014 4.085
Be 0.048 -6.308 -0.846
Be 0.660 -5.335 1.101
Be 2.234 -5.946 -0.402
```

Results
crystal system	hexagonal



## x
Compound: HfTa2Be9
Source: Alexandria
Functional: GGA-PBE
Structure: optimized geometry

Geometry as extended XYZ:
```
12
Lattice="-1.044 -4.260 -1.372 3.353 -3.015 -0.886 0.628 -4.575 6.032" Properties=species:S:1:pos:R:3 pbc="T T T"
Hf 0.000 0.000 0.000
Ta 2.248 -8.194 0.640
Ta 0.688 -3.657 3.134
Be 1.538 -4.863 -1.466
Be 1.398 -6.988 5.241
Be 1.468 -5.925 1.887
Be 1.111 -4.146 0.563
Be 0.578 -6.321 -0.137
Be 2.823 -5.685 0.111
Be 1.825 -7.705 3.211
Be 0.113 -6.165 3.664
Be 2.359 -5.530 3.912
```

Results
crystal system	trigonal



Ranked by calculated energy, most stable first: x, w.



## w
Compound: HfBeTc3
Source: Alexandria
Functional: GGA-PBE
Structure: optimized geometry

Geometry as extended XYZ:
```
5
Lattice="4.224 0.000 0.000 0.000 4.224 0.000 0.000 0.000 4.224" Properties=species:S:1:pos:R:3 pbc="T T T"
Be 0.000 0.000 0.000
Hf 2.112 2.112 2.112
Tc 0.000 2.112 0.000
Tc 0.000 0.000 2.112
Tc 2.112 0.000 0.000
```

Results
crystal system	cubic



## x
Compound: HfBeTc3
Source: Alexandria
Functional: GGA-PBE
Structure: optimized geometry

Geometry as extended XYZ:
```
5
Lattice="-1.450 4.474 0.541 -4.291 -1.197 -1.601 -1.376 -0.981 4.422" Properties=species:S:1:pos:R:3 pbc="T T T"
Be -3.559 1.148 1.681
Hf 0.000 0.000 0.000
Tc -2.146 -0.599 -0.801
Tc -0.688 -0.491 2.211
Tc -0.725 2.237 0.271
```

Results
crystal system	cubic



Ranked by calculated energy, most stable first: w, x.



## w
Compound: HfBe9Tc2
Source: Alexandria
Functional: GGA-PBE
Structure: optimized geometry

Geometry as extended XYZ:
```
12
Lattice="-2.690 1.337 -3.247 -3.889 -2.014 -0.620 -5.237 4.302 3.096" Properties=species:S:1:pos:R:3 pbc="T T T"
Hf 0.000 0.000 0.000
Be -9.621 3.847 0.515
Be -2.195 -0.222 -1.286
Be -5.908 1.813 -0.386
Be -4.050 0.816 -0.809
Be -5.413 1.493 -2.454
Be -6.020 -0.204 -1.123
Be -7.766 2.810 0.038
Be -5.796 3.830 0.352
Be -6.403 2.132 1.682
Tc -7.892 1.276 -1.976
Tc -3.924 2.349 1.205
```

Results
crystal system	trigonal



## x
Compound: HfBe9Tc2
Source: Alexandria
Functional: GGA-PBE
Structure: optimized geometry

Geometry as extended XYZ:
```
24
Lattice="-1.794 0.480 -4.006 1.440 -3.962 1.315 -12.672 -2.834 5.336" Properties=species:S:1:pos:R:3 pbc="T T T"
Hf -9.142 -4.607 3.543
Hf -3.884 -1.710 -0.899
Be 0.000 0.000 0.000
Be -6.336 -1.417 2.668
Be -3.168 -0.709 1.334
Be -9.504 -2.126 4.002
Be -2.806 -3.190 0.875
Be -10.220 -3.127 1.769
Be -1.368 -1.608 0.420
Be -1.542 -3.321 -0.904
Be -0.660 -3.557 1.067
Be -8.426 -3.986 0.863
Be -8.251 -2.273 2.187
Be -9.134 -2.037 0.216
Be -11.484 -2.996 3.548
Be -11.659 -4.709 2.224
Be -12.367 -2.760 1.577
Be -4.775 -4.044 0.457
Be -4.601 -2.331 1.781
Be -3.892 -4.280 2.428
Tc -6.408 -3.996 2.392
Tc -1.150 -1.098 -2.050
Tc -6.618 -2.321 0.253
Tc -11.876 -5.219 4.694
```

Results
crystal system	hexagonal



Ranked by calculated energy, most stable first: x, w.



## w
Compound: Hf2BeTe
Source: Alexandria
Functional: GGA-PBE
Structure: optimized geometry

Geometry as extended XYZ:
```
4
Lattice="1.671 -4.152 -1.700 0.996 -3.590 3.007 -2.771 -3.904 0.068" Properties=species:S:1:pos:R:3 pbc="T T T"
Be 0.000 0.000 0.000
Te -0.052 -5.823 0.688
Hf -0.026 -2.911 0.344
Hf -0.078 -8.734 1.031
```

Results
crystal system	cubic



## x
Compound: Hf2BeTe
Source: Alexandria
Functional: GGA-PBE
Structure: optimized geometry

Geometry as extended XYZ:
```
8
Lattice="-4.389 -1.522 3.641 -2.013 -3.820 -4.024 0.309 -7.050 2.210" Properties=species:S:1:pos:R:3 pbc="T T T"
Be -3.201 -2.671 -0.191
Be -2.453 -6.771 -1.002
Te 0.000 0.000 0.000
Te -3.641 -5.622 2.830
Hf -2.581 -3.074 2.046
Hf -2.067 -4.457 -1.228
Hf -2.324 -7.584 1.205
Hf -5.216 -9.669 1.632
```

Results
crystal system	tetragonal



## y
Compound: Hf2BeTe
Source: Alexandria
Functional: GGA-PBE
Structure: optimized geometry

Geometry as extended XYZ:
```
4
Lattice="3.719 0.000 0.000 1.859 3.221 0.000 1.859 1.074 6.753" Properties=species:S:1:pos:R:3 pbc="T T T"
Be 0.000 0.000 0.000
Te 3.719 2.147 3.377
Hf 1.859 1.074 1.335
Hf 5.578 3.221 5.418
```

Results
crystal system	trigonal



Ranked by calculated energy, most stable first: y, w, x.